No. 1
# DyCuCl GGA-PBE relaxed
data_DyCuCl
_cell_length_a 11.478
_cell_length_b 3.565
_cell_length_c 6.175
_cell_angle_alpha 90.00
_cell_angle_beta 90.00
_cell_angle_gamma 90.00
_space_group_name_H-M_alt 'A m m 2'
_space_group_IT_number 38
loop_
_space_group_symop_operation_xyz
'x,y,z'
'-x,-y,z'
'-x,y,z'
'x,-y,z'
'x,y+1/2,z+1/2'
'-x,-y+1/2,z+1/2'
'-x,y+1/2,z+1/2'
'x,-y+1/2,z+1/2'
loop_
_atom_site_label
_atom_site_fract_x
_atom_site_fract_y
_atom_site_fract_z
Dy1 0.170 0.000 0.000
Cu1 0.000 0.000 0.333
Cu2 0.500 0.000 0.006
Cl1 0.357 0.000 0.334
# Density of states at the Fermi level = 2.94 states/eV per cell
# Formation energy (no corrections) = -0.516 eV per atom

***

No. 2
# Li2TaW GGA-PBE relaxed
data_Li2TaW
_cell_length_a 2.7394
_cell_length_b 2.7394
_cell_length_c 30.8922
_cell_angle_alpha 90.00
_cell_angle_beta 90.00
_cell_angle_gamma 120.00
_space_group_name_H-M_alt 'R -3 m'
_space_group_IT_number 166
_space_group_name_Hall '-R 3 2"'
loop_
_atom_site_label
_atom_site_fract_x
_atom_site_fract_y
_atom_site_fract_z
Li1 0.0000 0.0000 0.2480
Ta1 0.0000 0.0000 0.0000
W1 0.0000 0.0000 0.5000
# Energy above the most stable polymorph in this dataset = 242 meV/atom
# Density of states at the Fermi level = 9.92 states/eV per cell
# Energy of formation from the pure elements = 0.48 eV/atom

***

No. 3
# Tb3PmAl4 GGA-PBE relaxed
data_Tb3PmAl4
_cell_length_a 5.138
_cell_length_b 5.138
_cell_length_c 7.298
_cell_angle_alpha 90.00
_cell_angle_beta 90.00
_cell_angle_gamma 90.00
_space_group_name_H-M_alt 'P 4/m m m'
_space_group_IT_number 123
_space_group_name_Hall '-P 4 2'
loop_
_atom_site_label
_atom_site_fract_x
_atom_site_fract_y
_atom_site_fract_z
Tb1 0.000 0.000 0.000
Tb2 0.000 0.000 0.500
Tb3 0.500 0.500 0.000
Pm1 0.500 0.500 0.500
Al1 0.000 0.500 0.245
# Density of states at the Fermi level = 3.40 states/eV per cell
# Energy of formation from the pure elements = -0.39 eV/atom

***

No. 4
# Ba2NdCu2O6 GGA-PBE relaxed
data_Ba2NdCu2O6
_cell_length_a 6.0923
_cell_length_b 6.0923
_cell_length_c 18.2041
_cell_angle_alpha 90.00
_cell_angle_beta 90.00
_cell_angle_gamma 120.00
_space_group_name_H-M_alt 'R -3 m'
_space_group_IT_number 166
_space_group_name_Hall '-R 3 2"'
loop_
_atom_site_label
_atom_site_fract_x
_atom_site_fract_y
_atom_site_fract_z
Ba1 0.0000 0.0000 0.2105
Nd1 0.0000 0.0000 0.0000
Cu1 0.0000 0.0000 0.4239
O1 0.0122 0.5061 0.7563
# Density of states at the Fermi level = 7.18 states/eV per cell
# Formation energy (no corrections) = -1.847 eV per atom

***

No. 5
# TlHg2I GGA-PBE relaxed
data_TlHg2I
_cell_length_a 4.974
_cell_length_b 4.965
_cell_length_c 12.078
_cell_angle_alpha 90.00
_cell_angle_beta 101.82
_cell_angle_gamma 90.00
_space_group_name_H-M_alt 'P 1 21/m 1'
_space_group_IT_number 11
loop_
_space_group_symop_operation_xyz
'x,y,z'
'-x,-y,-z'
'-x,y+1/2,-z'
'x,-y+1/2,z'
loop_
_atom_site_label
_atom_site_fract_x
_atom_site_fract_y
_atom_site_fract_z
Tl1 0.172 0.250 0.342
Hg1 0.053 0.750 0.106
Hg2 0.447 0.750 0.895
I1 0.312 0.250 0.626
# Energy above the most stable polymorph in this dataset = 0 meV/atom
# Formation energy (no corrections) = -0.308 eV per atom

***

No. 6
# MnReSb2 GGA-PBE relaxed
data_MnReSb2
_cell_length_a 8.579
_cell_length_b 3.351
_cell_length_c 5.410
_cell_angle_alpha 90.00
_cell_angle_beta 98.92
_cell_angle_gamma 90.00
_space_group_name_H-M_alt 'C 1 2/m 1'
_space_group_IT_number 12
loop_
_space_group_symop_operation_xyz
'x,y,z'
'-x,-y,-z'
'-x,y,-z'
'x,-y,z'
'x+1/2,y+1/2,z'
'-x+1/2,-y+1/2,-z'
'-x+1/2,y+1/2,-z'
'x+1/2,-y+1/2,z'
loop_
_atom_site_label
_atom_site_fract_x
_atom_site_fract_y
_atom_site_fract_z
Mn1 0.000 0.000 0.000
Re1 0.000 0.500 0.500
Sb1 0.236 0.000 0.738
# Energy above the most stable polymorph in this dataset = 300 meV/atom
# Density of states at the Fermi level = 7.69 states/eV per cell
# Formation energy (no corrections) = 0.504 eV per atom

***

No. 7
# HfPaN GGA-PBE relaxed
data_HfPaN
_cell_length_a 3.2515
_cell_length_b 3.2515
_cell_length_c 5.7922
_cell_angle_alpha 90.00
_cell_angle_beta 90.00
_cell_angle_gamma 120.00
_space_group_name_H-M_alt 'P 3 m 1'
_space_group_IT_number 156
loop_
_space_group_symop_operation_xyz
'x,y,z'
'-y,x-y,z'
'-x+y,-x,z'
'-y,-x,z'
'-x+y,y,z'
'x,x-y,z'
loop_
_atom_site_label
_atom_site_fract_x
_atom_site_fract_y
_atom_site_fract_z
Hf1 0.0000 0.0000 0.0000
Pa1 0.3333 0.6667 0.5146
N1 0.6667 0.3333 0.7986
# Energy above the most stable polymorph in this dataset = 99 meV/atom
# Density of states at the Fermi level = 4.07 states/eV per cell
# Formation energy (no corrections) = -0.961 eV per atom

***

No. 8
# AcDyY2S6 GGA-PBE relaxed
data_AcDyY2S6
_cell_length_a 7.0858
_cell_length_b 7.0858
_cell_length_c 18.6419
_cell_angle_alpha 90.00
_cell_angle_beta 90.00
_cell_angle_gamma 120.00
_space_group_name_H-M_alt 'R 3'
_space_group_IT_number 146
_space_group_name_Hall 'R 3'
loop_
_atom_site_label
_atom_site_fract_x
_atom_site_fract_y
_atom_site_fract_z
Ac1 0.0000 0.0000 0.0000
Dy1 0.0000 0.0000 0.4863
Y1 0.0000 0.0000 0.2826
Y2 0.0000 0.0000 0.7897
S1 0.0056 0.3093 0.8833
S2 0.0266 0.6230 0.0510
# Density of states at the Fermi level = 0.00 states/eV per cell
# Formation energy (no corrections) = -2.077 eV per atom

***

No. 9
# BaMgCdHg2 GGA-PBE relaxed
data_BaMgCdHg2
_cell_length_a 6.671
_cell_length_b 6.671
_cell_length_c 7.021
_cell_angle_alpha 90.00
_cell_angle_beta 90.00
_cell_angle_gamma 90.00
_space_group_name_H-M_alt 'P 4/m m m'
_space_group_IT_number 123
_space_group_name_Hall '-P 4 2'
loop_
_atom_site_label
_atom_site_fract_x
_atom_site_fract_y
_atom_site_fract_z
Ba1 0.000 0.000 0.000
Mg1 0.000 0.000 0.500
Cd1 0.500 0.500 0.500
Hg1 0.000 0.500 0.000
# Energy above the most stable polymorph in this dataset = 839 meV/atom
# Density of states at the Fermi level = 6.37 states/eV per cell
# Energy of formation from the pure elements = 0.48 eV/atom

***

No. 10
# Pm2BeGa4Rh3 GGA-PBE relaxed
data_Pm2BeGa4Rh3
_cell_length_a 4.204
_cell_length_b 4.204
_cell_length_c 10.331
_cell_angle_alpha 90.00
_cell_angle_beta 90.00
_cell_angle_gamma 90.00
_space_group_name_H-M_alt 'P -4 m 2'
_space_group_IT_number 115
loop_
_space_group_symop_operation_xyz
'x,y,z'
'y,-x,-z'
'-x,-y,z'
'-y,x,-z'
'-x,y,z'
'-y,-x,-z'
'x,-y,z'
'y,x,-z'
loop_
_atom_site_label
_atom_site_fract_x
_atom_site_fract_y
_atom_site_fract_z
Pm1 0.000 0.500 0.242
Be1 0.500 0.500 0.000
Ga1 0.000 0.000 0.500
Ga2 0.000 0.500 0.876
Ga3 0.500 0.500 0.500
Rh1 0.000 0.000 0.000
Rh2 0.000 0.500 0.634
# Density of states at the Fermi level = 6.51 states/eV per cell
# Energy of formation from the pure elements = -0.64 eV/atom

***

No. 11
# FeAgS2Cl GGA-PBE relaxed
data_FeAgS2Cl
_cell_length_a 4.852
_cell_length_b 4.852
_cell_length_c 4.836
_cell_angle_alpha 90.00
_cell_angle_beta 90.00
_cell_angle_gamma 90.00
_space_group_name_H-M_alt 'P 4/m m m'
_space_group_IT_number 123
_space_group_name_Hall '-P 4 2'
loop_
_atom_site_label
_atom_site_fract_x
_atom_site_fract_y
_atom_site_fract_z
Fe1 0.000 0.000 0.000
Ag1 0.500 0.500 0.500
S1 0.000 0.500 0.500
Cl1 0.500 0.500 0.000
# Energy above the most stable polymorph in this dataset = 715 meV/atom
# Density of states at the Fermi level = 7.75 states/eV per cell
# Formation energy (no corrections) = 0.857 eV per atom

***

No. 12
# Ac2Pr3Tl GGA-PBE relaxed
data_Ac2Pr3Tl
_cell_length_a 6.539
_cell_length_b 11.339
_cell_length_c 12.113
_cell_angle_alpha 90.00
_cell_angle_beta 100.52
_cell_angle_gamma 90.00
_space_group_name_H-M_alt 'C 1 2/m 1'
_space_group_IT_number 12
loop_
_space_group_symop_operation_xyz
'x,y,z'
'-x,-y,-z'
'-x,y,-z'
'x,-y,z'
'x+1/2,y+1/2,z'
'-x+1/2,-y+1/2,-z'
'-x+1/2,y+1/2,-z'
'x+1/2,-y+1/2,z'
loop_
_atom_site_label
_atom_site_fract_x
_atom_site_fract_y
_atom_site_fract_z
Ac1 0.000 0.000 0.000
Ac2 0.000 0.165 0.500
Ac3 0.000 0.500 0.500
Pr1 0.227 0.500 0.240
Pr2 0.245 0.325 0.758
Tl1 0.000 0.332 0.000
# Energy above the most stable polymorph in this dataset = 33 meV/atom
# Density of states at the Fermi level = 27.07 states/eV per cell
# Energy of formation from the pure elements = -0.05 eV/atom

***

No. 13
# LuZrBi GGA-PBE relaxed
data_LuZrBi
_cell_length_a 3.206
_cell_length_b 3.206
_cell_length_c 17.436
_cell_angle_alpha 90.00
_cell_angle_beta 90.00
_cell_angle_gamma 90.00
_space_group_name_H-M_alt 'I 4 m m'
_space_group_IT_number 107
_space_group_name_Hall 'I 4 -2'
loop_
_atom_site_label
_atom_site_fract_x
_atom_site_fract_y
_atom_site_fract_z
Lu1 0.000 0.000 0.000
Zr1 0.000 0.000 0.817
Bi1 0.000 0.000 0.187
# Density of states at the Fermi level = 4.36 states/eV per cell
# Energy of formation from the pure elements = 0.34 eV/atom

***

No. 14
# YZn2AgAu2 GGA-PBE relaxed
data_YZn2AgAu2
_cell_length_a 4.5526
_cell_length_b 4.5526
_cell_length_c 6.3686
_cell_angle_alpha 90.00
_cell_angle_beta 90.00
_cell_angle_gamma 120.00
_space_group_name_H-M_alt 'P -3 m 1'
_space_group_IT_number 164
_space_group_name_Hall '-P 3 2"'
loop_
_atom_site_label
_atom_site_fract_x
_atom_site_fract_y
_atom_site_fract_z
Y1 0.0000 0.0000 0.0000
Zn1 0.3333 0.6667 0.6970
Ag1 0.0000 0.0000 0.5000
Au1 0.3333 0.6667 0.2556
# Density of states at the Fermi level = 3.37 states/eV per cell
# Energy of formation from the pure elements = -0.46 eV/atom

***

No. 15
# MnAs2Ru GGA-PBE relaxed
data_MnAs2Ru
_cell_length_a 3.344
_cell_length_b 4.657
_cell_length_c 4.604
_cell_angle_alpha 90.00
_cell_angle_beta 111.14
_cell_angle_gamma 90.00
_space_group_name_H-M_alt 'P 1 m 1'
_space_group_IT_number 6
loop_
_space_group_symop_operation_xyz
'x,y,z'
'x,-y,z'
loop_
_atom_site_label
_atom_site_fract_x
_atom_site_fract_y
_atom_site_fract_z
Mn1 0.000 0.000 0.000
As1 0.117 0.500 0.238
As2 0.300 0.000 0.597
Ru1 0.418 0.500 0.838
# Energy above the most stable polymorph in this dataset = 25 meV/atom
# Density of states at the Fermi level = 3.01 states/eV per cell
# Energy of formation from the pure elements = -0.08 eV/atom

***

No. 16
# Tm2TiBe4Pt3 GGA-PBE relaxed
data_Tm2TiBe4Pt3
_cell_length_a 3.848
_cell_length_b 3.848
_cell_length_c 10.366
_cell_angle_alpha 90.00
_cell_angle_beta 90.00
_cell_angle_gamma 90.00
_space_group_name_H-M_alt 'P -4 m 2'
_space_group_IT_number 115
loop_
_space_group_symop_operation_xyz
'x,y,z'
'y,-x,-z'
'-x,-y,z'
'-y,x,-z'
'-x,y,z'
'-y,-x,-z'
'x,-y,z'
'y,x,-z'
loop_
_atom_site_label
_atom_site_fract_x
_atom_site_fract_y
_atom_site_fract_z
Tm1 0.000 0.500 0.243
Ti1 0.000 0.000 0.500
Be1 0.000 0.000 0.000
Be2 0.000 0.500 0.652
Be3 0.500 0.500 0.000
Pt1 0.000 0.500 0.875
Pt2 0.500 0.500 0.500
# Density of states at the Fermi level = 8.08 states/eV per cell
# Energy of formation from the pure elements = -0.72 eV/atom

***

No. 17
# Ce4Co4Ni GGA-PBE relaxed
data_Ce4Co4Ni
_cell_length_a 8.241
_cell_length_b 8.241
_cell_length_c 4.981
_cell_angle_alpha 90.00
_cell_angle_beta 90.00
_cell_angle_gamma 90.00
_space_group_name_H-M_alt 'P 42/n'
_space_group_IT_number 86
loop_
_space_group_symop_operation_xyz
'x,y,z'
'-x,-y,-z'
'-y,x+1/2,z+1/2'
'y,-x+1/2,-z+1/2'
'-x+1/2,-y+1/2,z'
'x+1/2,y+1/2,-z'
'y+1/2,-x,z+1/2'
'-y+1/2,x,-z+1/2'
loop_
_atom_site_label
_atom_site_fract_x
_atom_site_fract_y
_atom_site_fract_z
Ce1 0.025 0.682 0.096
Co1 0.005 0.349 0.455
Ni1 0.250 0.250 0.250
# Density of states at the Fermi level = 21.43 states/eV per cell
# Energy of formation from the pure elements = -0.18 eV/atom